HoSc2In3: relaxed, PBE.

## Properties
As for the space group: Cmmm (65).

Structure (CIF):
```
data_HoSc2In3
_cell_length_a 4.6384
_cell_length_b 7.3250
_cell_length_c 8.8179
_cell_angle_alpha 90.00
_cell_angle_beta 90.01
_cell_angle_gamma 71.54
_symmetry_space_group_name_H-M 'P 1'
_symmetry_Int_Tables_number 1
loop_
_symmetry_equiv_pos_as_xyz
'x,y,z'
loop_
_atom_site_label
_atom_site_fract_x
_atom_site_fract_y
_atom_site_fract_z
In1 0.1648 0.6698 0.2578
In2 0.1654 0.6698 0.7422
In3 0.4995 0.0000 0.2578
Sc1 0.3329 0.3341 0.5000
Sc2 0.0000 0.0000 0.5000
Ho1 0.3365 0.3269 0.0000
Sc3 0.6671 0.6659 0.5000
In4 0.5005 0.0000 0.7422
In5 0.8352 0.3302 0.7422
In6 0.8346 0.3302 0.2578
Sc4 0.0000 0.0000 0.0000
Ho2 0.6635 0.6731 0.0000
```

***

HoSc8In2: relaxed, PBE.

## Properties
As for the space group: C2/m (12).

Structure (CIF):
```
data_HoSc8In2
_cell_length_a 5.3195
_cell_length_b 8.3487
_cell_length_c 8.3487
_cell_angle_alpha 120.60
_cell_angle_beta 104.83
_cell_angle_gamma 104.83
_symmetry_space_group_name_H-M 'P 1'
_symmetry_Int_Tables_number 1
loop_
_symmetry_equiv_pos_as_xyz
'x,y,z'
loop_
_atom_site_label
_atom_site_fract_x
_atom_site_fract_y
_atom_site_fract_z
Sc1 0.1525 0.0977 0.3318
Sc2 0.2912 0.5748 0.5748
Sc3 0.7088 0.4252 0.4252
Ho1 0.5000 0.0000 0.0000
In1 0.0000 0.6914 0.3086
In2 0.0000 0.3086 0.6914
Sc4 0.5000 0.7889 0.2111
Sc5 0.5000 0.2111 0.7889
Sc6 0.8475 0.6682 0.9023
Sc7 0.8475 0.9023 0.6682
Sc8 0.1525 0.3318 0.0977
```

***

HoSc2In: relaxed, PBE.

## Properties
As for the space group: Cmcm (63).

Structure (CIF):
```
data_HoSc2In
_cell_length_a 7.9220
_cell_length_b 7.9220
_cell_length_c 8.1118
_cell_angle_alpha 90.00
_cell_angle_beta 90.00
_cell_angle_gamma 156.29
_symmetry_space_group_name_H-M 'P 1'
_symmetry_Int_Tables_number 1
loop_
_symmetry_equiv_pos_as_xyz
'x,y,z'
loop_
_atom_site_label
_atom_site_fract_x
_atom_site_fract_y
_atom_site_fract_z
Ho1 0.2623 0.7377 0.7500
In1 0.0473 0.9527 0.2500
Sc1 0.5991 0.4009 0.5626
In2 0.9527 0.0473 0.7500
Sc2 0.4009 0.5991 0.4374
Ho2 0.7377 0.2623 0.2500
Sc3 0.4009 0.5991 0.0626
Sc4 0.5991 0.4009 0.9374
```

***

Ho8ScIn6: relaxed, PBE.

## Properties
As for the space group: R-3 (148).

Structure (CIF):
```
data_Ho8ScIn6
_cell_length_a 8.9105
_cell_length_b 8.9105
_cell_length_c 8.2549
_cell_angle_alpha 57.34
_cell_angle_beta 57.34
_cell_angle_gamma 60.00
_symmetry_space_group_name_H-M 'P 1'
_symmetry_Int_Tables_number 1
loop_
_symmetry_equiv_pos_as_xyz
'x,y,z'
loop_
_atom_site_label
_atom_site_fract_x
_atom_site_fract_y
_atom_site_fract_z
Ho1 0.5492 0.2230 0.3395
In1 0.6169 0.9418 0.1749
In2 0.7336 0.3831 0.8251
In3 0.3831 0.0582 0.8251
Ho2 0.6655 0.6655 0.0034
Ho3 0.2230 0.8883 0.3395
Sc1 0.0000 0.0000 0.0000
Ho4 0.1117 0.4508 0.6605
In4 0.9418 0.2664 0.1749
Ho5 0.8883 0.5492 0.3395
In5 0.2664 0.6169 0.1749
Ho6 0.4508 0.7770 0.6605
Ho7 0.3345 0.3345 0.9966
Ho8 0.7770 0.1117 0.6605
In6 0.0582 0.7336 0.8251
```

***

HoSc3In: relaxed, PBE.

## Properties
As for the space group: Pmmn (59).

Structure (CIF):
```
data_HoSc3In
_cell_length_a 5.0751
_cell_length_b 7.7022
_cell_length_c 6.6225
_cell_angle_alpha 90.00
_cell_angle_beta 90.00
_cell_angle_gamma 90.00
_symmetry_space_group_name_H-M 'P 1'
_symmetry_Int_Tables_number 1
loop_
_symmetry_equiv_pos_as_xyz
'x,y,z'
loop_
_atom_site_label
_atom_site_fract_x
_atom_site_fract_y
_atom_site_fract_z
Sc1 0.5000 0.1902 0.7349
Sc2 0.0000 0.3098 0.2651
Sc3 0.5000 0.5000 0.0587
Sc4 0.5000 0.8098 0.7349
Sc5 0.0000 0.6902 0.2651
In1 0.5000 0.5000 0.4787
Sc6 0.0000 0.0000 0.9413
Ho1 0.5000 0.0000 0.2105
Ho2 0.0000 0.5000 0.7895
In2 0.0000 0.0000 0.5213
```

***

Ho2ScIn4: relaxed, PBE.

## Properties
As for the space group: I4/mmm (139).

Structure (CIF):
```
data_Ho2ScIn4
_cell_length_a 5.3773
_cell_length_b 5.3773
_cell_length_c 8.6577
_cell_angle_alpha 108.09
_cell_angle_beta 108.09
_cell_angle_gamma 90.00
_symmetry_space_group_name_H-M 'P 1'
_symmetry_Int_Tables_number 1
loop_
_symmetry_equiv_pos_as_xyz
'x,y,z'
loop_
_atom_site_label
_atom_site_fract_x
_atom_site_fract_y
_atom_site_fract_z
In1 0.0000 0.5000 0.0000
Ho1 0.6118 0.6118 0.2237
In2 0.5000 0.0000 0.0000
In3 0.1873 0.1873 0.3746
In4 0.8127 0.8127 0.6254
Ho2 0.3882 0.3882 0.7763
Sc1 0.0000 0.0000 0.0000
```

***

Ho2Sc3In: relaxed, PBE.

## Properties
As for the space group: Cmmm (65).

Structure (CIF):
```
data_Ho2Sc3In
_cell_length_a 4.6464
_cell_length_b 4.6379
_cell_length_c 7.5654
_cell_angle_alpha 107.85
_cell_angle_beta 90.00
_cell_angle_gamma 90.00
_symmetry_space_group_name_H-M 'P 1'
_symmetry_Int_Tables_number 1
loop_
_symmetry_equiv_pos_as_xyz
'x,y,z'
loop_
_atom_site_label
_atom_site_fract_x
_atom_site_fract_y
_atom_site_fract_z
Ho1 0.0000 0.6610 0.3220
Ho2 0.0000 0.3390 0.6780
Sc1 0.5000 0.1673 0.3347
Sc2 0.5000 0.8327 0.6653
In1 0.0000 0.0000 0.0000
Sc3 0.5000 0.5000 0.0000
```

***

Ho12Sc2In: relaxed, PBE.

## Properties
As for the space group: P2/m (10).

Structure (CIF):
```
data_Ho12Sc2In
_cell_length_a 5.8866
_cell_length_b 5.8866
_cell_length_c 29.8805
_cell_angle_alpha 75.64
_cell_angle_beta 104.36
_cell_angle_gamma 73.74
_symmetry_space_group_name_H-M 'P 1'
_symmetry_Int_Tables_number 1
loop_
_symmetry_equiv_pos_as_xyz
'x,y,z'
loop_
_atom_site_label
_atom_site_fract_x
_atom_site_fract_y
_atom_site_fract_z
Ho1 0.5575 0.4425 0.3177
Ho2 0.8940 0.1060 0.9400
Sc1 0.0529 0.4471 0.7456
Ho3 0.6635 0.3365 0.8090
Ho4 0.6661 0.8339 0.3800
Ho5 0.3940 0.6060 0.9400
Ho6 0.8339 0.6661 0.6200
Ho7 0.8365 0.1635 0.1910
Sc2 0.4471 0.0529 0.2544
Ho8 0.2742 0.2258 0.8719
Ho9 0.1060 0.8940 0.0600
Sc3 0.5529 0.9471 0.7456
Ho10 0.4425 0.5575 0.6823
In1 0.5000 0.0000 0.0000
Ho11 0.3365 0.6635 0.1910
Ho12 0.1661 0.3339 0.3800
Ho13 0.2178 0.7822 0.5532
Ho14 0.9425 0.0575 0.6823
Ho15 0.6060 0.3940 0.0600
Ho16 0.3339 0.1661 0.6200
Ho17 0.2258 0.2742 0.1281
Ho18 0.7178 0.2822 0.5532
Ho19 0.1635 0.8365 0.8090
Ho20 0.7822 0.2178 0.4468
In2 0.0000 0.5000 0.0000
Sc4 0.9471 0.5529 0.2544
Ho21 0.7258 0.7742 0.1281
Ho22 0.7742 0.7258 0.8719
Ho23 0.2822 0.7178 0.4468
Ho24 0.0575 0.9425 0.3177
```

***

Ho9ScIn2: relaxed, PBE.

## Properties
As for the space group: P4/mmm (123).

Structure (CIF):
```
data_Ho9ScIn2
_cell_length_a 4.8268
_cell_length_b 4.8268
_cell_length_c 14.6860
_cell_angle_alpha 90.00
_cell_angle_beta 90.00
_cell_angle_gamma 90.00
_symmetry_space_group_name_H-M 'P 1'
_symmetry_Int_Tables_number 1
loop_
_symmetry_equiv_pos_as_xyz
'x,y,z'
loop_
_atom_site_label
_atom_site_fract_x
_atom_site_fract_y
_atom_site_fract_z
Ho1 0.5000 0.5000 0.0000
Ho2 0.0000 0.5000 0.5000
Ho3 0.5000 0.0000 0.5000
In1 0.0000 0.0000 0.6627
Ho4 0.5000 0.0000 0.1680
Ho5 0.0000 0.5000 0.8320
Ho6 0.5000 0.5000 0.6652
Ho7 0.5000 0.5000 0.3348
Ho8 0.5000 0.0000 0.8320
In2 0.0000 0.0000 0.3373
Ho9 0.0000 0.5000 0.1680
Sc1 0.0000 0.0000 0.0000
```

***

Ho3Sc3In: relaxed, PBE.

## Properties
As for the space group: P6_3/m (176).

Structure (CIF):
```
data_Ho3Sc3In
_cell_length_a 5.2995
_cell_length_b 9.0235
_cell_length_c 9.0235
_cell_angle_alpha 120.00
_cell_angle_beta 90.00
_cell_angle_gamma 90.00
_symmetry_space_group_name_H-M 'P 1'
_symmetry_Int_Tables_number 1
loop_
_symmetry_equiv_pos_as_xyz
'x,y,z'
loop_
_atom_site_label
_atom_site_fract_x
_atom_site_fract_y
_atom_site_fract_z
In1 0.7500 0.3333 0.6667
Ho1 0.2500 0.1022 0.4698
Ho2 0.2500 0.3676 0.8978
Sc1 0.2500 0.8289 0.0587
Sc2 0.2500 0.9413 0.7702
In2 0.2500 0.6667 0.3333
Sc3 0.7500 0.7702 0.8289
Ho3 0.7500 0.6324 0.1022
Sc4 0.2500 0.2298 0.1711
Ho4 0.7500 0.8978 0.5302
Sc5 0.7500 0.0587 0.2298
Ho5 0.2500 0.5302 0.6324
Ho6 0.7500 0.4698 0.3676
Sc6 0.7500 0.1711 0.9413
```

***

Ho2ScIn2: relaxed, PBE.

## Properties
As for the space group: Immm (71).

Structure (CIF):
```
data_Ho2ScIn2
_cell_length_a 4.6840
_cell_length_b 6.0029
_cell_length_c 6.0029
_cell_angle_alpha 65.93
_cell_angle_beta 67.04
_cell_angle_gamma 67.04
_symmetry_space_group_name_H-M 'P 1'
_symmetry_Int_Tables_number 1
loop_
_symmetry_equiv_pos_as_xyz
'x,y,z'
loop_
_atom_site_label
_atom_site_fract_x
_atom_site_fract_y
_atom_site_fract_z
In1 0.5000 0.2774 0.7226
Ho1 0.8035 0.6965 0.6965
Sc1 0.0000 0.0000 0.0000
Ho2 0.1965 0.3035 0.3035
In2 0.5000 0.7226 0.2774
```

***

Ho4ScIn2: relaxed, PBE.

## Properties
As for the space group: R-3m (166).

Structure (CIF):
```
data_Ho4ScIn2
_cell_length_a 5.3980
_cell_length_b 5.3980
_cell_length_c 9.0942
_cell_angle_alpha 72.74
_cell_angle_beta 72.74
_cell_angle_gamma 60.00
_symmetry_space_group_name_H-M 'P 1'
_symmetry_Int_Tables_number 1
loop_
_symmetry_equiv_pos_as_xyz
'x,y,z'
loop_
_atom_site_label
_atom_site_fract_x
_atom_site_fract_y
_atom_site_fract_z
In1 0.3866 0.3866 0.8402
In2 0.6134 0.6134 0.1598
Ho1 0.1298 0.1298 0.6105
Ho2 0.2660 0.2660 0.2021
Ho3 0.7340 0.7340 0.7979
Ho4 0.8702 0.8702 0.3895
Sc1 0.5000 0.5000 0.5000
```

***

Ho14ScIn: relaxed, PBE.

## Properties
As for the space group: P4/mmm (123).

Structure (CIF):
```
data_Ho14ScIn
_cell_length_a 6.9559
_cell_length_b 6.9559
_cell_length_c 9.8808
_cell_angle_alpha 90.00
_cell_angle_beta 90.00
_cell_angle_gamma 90.00
_symmetry_space_group_name_H-M 'P 1'
_symmetry_Int_Tables_number 1
loop_
_symmetry_equiv_pos_as_xyz
'x,y,z'
loop_
_atom_site_label
_atom_site_fract_x
_atom_site_fract_y
_atom_site_fract_z
Ho1 0.8751 0.6251 0.5000
Ho2 0.1262 0.3762 0.2454
Sc1 0.3750 0.6250 0.0000
Ho3 0.8749 0.1251 0.5000
Ho4 0.8749 0.6249 0.0000
Ho5 0.3749 0.1249 0.5000
Ho6 0.3751 0.1251 0.0000
Ho7 0.3751 0.6249 0.5000
Ho8 0.6238 0.8738 0.2454
Ho9 0.6238 0.8738 0.7546
Ho10 0.1262 0.8738 0.7547
Ho11 0.6238 0.3762 0.7546
Ho12 0.6238 0.3762 0.2454
In1 0.8750 0.1250 0.0000
Ho13 0.1262 0.3762 0.7546
Ho14 0.1262 0.8738 0.2453
```

***

HoSc2In: relaxed, PBE.

## Properties
As for the space group: P4/mmm (123).

Structure (CIF):
```
data_HoSc2In
_cell_length_a 3.4124
_cell_length_b 3.4124
_cell_length_c 8.6608
_cell_angle_alpha 90.00
_cell_angle_beta 90.00
_cell_angle_gamma 90.00
_symmetry_space_group_name_H-M 'P 1'
_symmetry_Int_Tables_number 1
loop_
_symmetry_equiv_pos_as_xyz
'x,y,z'
loop_
_atom_site_label
_atom_site_fract_x
_atom_site_fract_y
_atom_site_fract_z
In1 0.5000 0.5000 0.0000
Ho1 0.5000 0.5000 0.5000
Sc1 0.0000 0.0000 0.2274
Sc2 0.0000 0.0000 0.7726
```

***

HoSc4In5: relaxed, PBE.

## Properties
As for the space group: P4/mmm (123).

Structure (CIF):
```
data_HoSc4In5
_cell_length_a 3.2341
_cell_length_b 3.2341
_cell_length_c 22.1526
_cell_angle_alpha 90.00
_cell_angle_beta 90.00
_cell_angle_gamma 90.00
_symmetry_space_group_name_H-M 'P 1'
_symmetry_Int_Tables_number 1
loop_
_symmetry_equiv_pos_as_xyz
'x,y,z'
loop_
_atom_site_label
_atom_site_fract_x
_atom_site_fract_y
_atom_site_fract_z
In1 0.5000 0.5000 0.1071
Sc1 0.0000 0.0000 0.2055
Sc2 0.0000 0.0000 0.5982
In2 0.5000 0.5000 0.6963
Ho1 0.0000 0.0000 0.0000
Sc3 0.0000 0.0000 0.7945
In3 0.5000 0.5000 0.3037
In4 0.5000 0.5000 0.5000
Sc4 0.0000 0.0000 0.4018
In5 0.5000 0.5000 0.8929
```

***

HoSc2In: relaxed, PBE.

## Properties
As for the space group: P4/mmm (123).

Structure (CIF):
```
data_HoSc2In
_cell_length_a 4.6130
_cell_length_b 4.6297
_cell_length_c 4.6297
_cell_angle_alpha 90.00
_cell_angle_beta 90.00
_cell_angle_gamma 90.00
_symmetry_space_group_name_H-M 'P 1'
_symmetry_Int_Tables_number 1
loop_
_symmetry_equiv_pos_as_xyz
'x,y,z'
loop_
_atom_site_label
_atom_site_fract_x
_atom_site_fract_y
_atom_site_fract_z
Ho1 0.5000 0.5000 0.5000
Sc1 0.0000 0.5000 0.0000
Sc2 0.0000 0.0000 0.5000
In1 0.5000 0.0000 0.0000
```

***

Ho4Sc5In: relaxed, PBE.

## Properties
As for the space group: I4mm (107).

Structure (CIF):
```
data_Ho4Sc5In
_cell_length_a 5.4946
_cell_length_b 7.6533
_cell_length_c 7.6533
_cell_angle_alpha 82.60
_cell_angle_beta 68.96
_cell_angle_gamma 68.96
_symmetry_space_group_name_H-M 'P 1'
_symmetry_Int_Tables_number 1
loop_
_symmetry_equiv_pos_as_xyz
'x,y,z'
loop_
_atom_site_label
_atom_site_fract_x
_atom_site_fract_y
_atom_site_fract_z
Sc1 0.6826 0.0000 0.0000
Sc2 0.7726 0.3689 0.0000
Ho1 0.1373 0.3138 0.3138
Ho2 0.4511 0.6862 0.3138
Sc3 0.1415 0.0000 0.6311
Sc4 0.7725 0.0000 0.3689
In1 0.1954 0.0000 0.0000
Ho3 0.7648 0.6862 0.6862
Sc5 0.1414 0.6311 0.0000
Ho4 0.4511 0.3138 0.6862
```

***

HoSc2In: relaxed, PBE.

## Properties
As for the space group: R3m (160).

Structure (CIF):
```
data_HoSc2In
_cell_length_a 3.3806
_cell_length_b 3.3806
_cell_length_c 10.6218
_cell_angle_alpha 80.84
_cell_angle_beta 80.84
_cell_angle_gamma 60.00
_symmetry_space_group_name_H-M 'P 1'
_symmetry_Int_Tables_number 1
loop_
_symmetry_equiv_pos_as_xyz
'x,y,z'
loop_
_atom_site_label
_atom_site_fract_x
_atom_site_fract_y
_atom_site_fract_z
Sc1 0.0792 0.0792 0.7624
In1 0.6665 0.6665 0.0006
Sc2 0.2541 0.2541 0.2376
Ho1 0.5002 0.5002 0.4995
```

***

Ho3ScIn2: relaxed, PBE.

## Properties
As for the space group: Cmmm (65).

Structure (CIF):
```
data_Ho3ScIn2
_cell_length_a 4.4052
_cell_length_b 4.8204
_cell_length_c 7.9276
_cell_angle_alpha 107.70
_cell_angle_beta 90.00
_cell_angle_gamma 90.00
_symmetry_space_group_name_H-M 'P 1'
_symmetry_Int_Tables_number 1
loop_
_symmetry_equiv_pos_as_xyz
'x,y,z'
loop_
_atom_site_label
_atom_site_fract_x
_atom_site_fract_y
_atom_site_fract_z
In1 0.0000 0.6524 0.3047
Ho1 0.5000 0.5000 0.0000
In2 0.0000 0.3476 0.6953
Sc1 0.0000 0.0000 0.0000
Ho2 0.5000 0.8293 0.6585
Ho3 0.5000 0.1707 0.3415
```

***

HoSc5In2: relaxed, PBE.

## Properties
As for the space group: Pbam (55).

Structure (CIF):
```
data_HoSc5In2
_cell_length_a 4.5705
_cell_length_b 6.4667
_cell_length_c 12.9494
_cell_angle_alpha 90.00
_cell_angle_beta 90.00
_cell_angle_gamma 90.00
_symmetry_space_group_name_H-M 'P 1'
_symmetry_Int_Tables_number 1
loop_
_symmetry_equiv_pos_as_xyz
'x,y,z'
loop_
_atom_site_label
_atom_site_fract_x
_atom_site_fract_y
_atom_site_fract_z
In1 0.5000 0.7531 0.8729
In2 0.5000 0.2531 0.6271
Sc1 0.0000 0.4991 0.7468
Sc2 0.0000 0.0000 0.0000
Sc3 0.5000 0.2473 0.8723
Sc4 0.0000 0.5009 0.2532
In3 0.5000 0.7469 0.3729
Sc5 0.5000 0.7473 0.6277
Sc6 0.5000 0.2527 0.3723
Sc7 0.0000 0.0009 0.2468
Ho1 0.0000 0.5000 0.0000
Ho2 0.0000 0.0000 0.5000
Sc8 0.5000 0.7527 0.1277
In4 0.5000 0.2469 0.1271
Sc9 0.0000 0.9991 0.7532
Sc10 0.0000 0.5000 0.5000
```

***

no.,energy of formation (meV per atom)
1,-427.8
2,-22.4
3,-157.2
4,-197.2
5,-112.3
6,121.0
7,-142.7
8,51.9
9,-165.8
10,-118.7
11,-336.9
12,14.3
13,-31.1
14,-215.6
15,-425.2
16,-264.9
17,83.8
18,-125.3
19,-319.4
20,-274.0